(1)
## SbW2N2 (GGA-PBEsol)

Data for crystalline SbW2N2 at its relaxed geometry.

Calculated values
DOS at the Fermi energy	0.51	states/eV per atom
formation energy from raw total energies	0.163	eV per atom

Cell: 3.9777 3.9777 9.5178 Å, 90.00 90.00 90.00°
Space group I4/mmm (No. 139)
One atom of each set of equivalent atoms:
Sb  0.0000  0.0000  0.0000 (multiplicity 2)
W  0.0000  0.5000  0.2500 (multiplicity 4)
N  0.0000  0.0000  0.3054 (multiplicity 4)



(2)
## YSbN2 (GGA-PBEsol)

Data for crystalline YSbN2 at its relaxed geometry.

Calculated values
DOS at the Fermi energy	0.10	states/eV per atom
formation energy from raw total energies	-0.465	eV per atom

Cell: 3.5029 3.5029 19.1262 Å, 90.00 90.00 120.00°
Space group R-3m (No. 166, hexagonal axes)
One atom of each set of equivalent atoms:
Y  0.0000  0.0000  0.0000 (multiplicity 3)
Sb  0.0000  0.0000  0.5000 (multiplicity 3)
N  0.0000  0.0000  0.3952 (multiplicity 6)



| no. | total magnetic moment (μB per atom) |
| --- | --- |
| 1 | 0.0000 |
| 2 | 0.0000 |